KFe2Te2 (GGA-PBE, relaxed); calculated volume = 120.53 Å³/f.u.; E_tot = -5.082 eV/atom
1.0
-1.9570 1.9570 7.8678
1.9570 -1.9570 7.8678
1.9570 1.9570 -7.8678
Fe Te K
2 2 1
direct
0.2500 0.7500 0.5000
0.7500 0.2500 0.5000
0.3623 0.3623 0.0000
0.6377 0.6377 0.0000
0.0000 0.0000 0.0000

***

TbCdInTe3 (GGA-PBE, relaxed); relative energy among the computed polymorphs = 1.16 kJ per mole of atoms; calculated volume = 207.40 Å³/f.u.
1.0
-0.4420 8.3012 -2.7036
-4.3997 0.0000 0.7192
1.7968 0.2123 10.9924
Tb Te In Cd
2 6 2 2
direct
0.8118 0.7500 0.3586
0.1882 0.2500 0.6414
0.2428 0.2500 0.9434
0.7572 0.7500 0.0566
0.4379 0.7500 0.6398
0.9414 0.7500 0.6460
0.5621 0.2500 0.3602
0.0586 0.2500 0.3540
0.7539 0.2500 0.7779
0.2461 0.7500 0.2221
0.4226 0.7500 0.8890
0.5774 0.2500 0.1110

***

ScTaCoSi (GGA-PBE, relaxed); relative energy among the computed polymorphs = 0.00 kJ per mole of atoms; calculated volume = 59.83 Å³/f.u.
1.0
0.0000 3.1044 3.1044
3.1044 0.0000 3.1044
3.1044 3.1044 0.0000
Ta Sc Co Si
1 1 1 1
direct
0.2500 0.2500 0.2500
0.5000 0.5000 0.5000
0.7500 0.7500 0.7500
0.0000 0.0000 0.0000

***

Dy2Y2ErLu2Ni2Te2 (GGA-PBE, relaxed); relative energy among the computed polymorphs = 0.00 kJ per mole of atoms; calculated volume = 284.15 Å³/f.u.
1.0
-6.3253 -6.8351 -0.1554
-1.6849 7.4936 5.2687
0.2485 -5.0280 -7.8364
Lu Te Y Dy Er Ni
2 2 2 2 1 2
direct
0.4116 0.0963 0.3153
0.7809 0.0963 0.6847
0.7401 0.2401 0.5000
0.1418 0.1418 0.0000
0.0264 0.8948 0.1316
0.7632 0.8948 0.8684
0.0992 0.7463 0.3529
0.3934 0.7463 0.6471
0.4773 0.4773 0.0000
0.1684 0.4060 0.7624
0.6436 0.4060 0.2376

***

Sc2SbPd (GGA-PBE, relaxed); calculated volume = 80.34 Å³/f.u.; E_tot = -5.876 eV/atom
1.0
0.1986 -4.3864 -2.0442
2.1052 -3.6743 2.3509
-2.7014 -3.6154 1.7577
Sc Sb Pd
2 1 1
direct
0.0000 0.0000 0.0000
0.7500 0.7500 0.7500
0.5000 0.5000 0.5000
0.2500 0.2500 0.2500

***

NbS2Br2 (GGA-PBE, relaxed); calculated volume = 130.36 Å³/f.u.; E_tot = -5.172 eV/atom
1.0
6.6347 0.0000 0.0000
-3.2548 5.7878 0.0000
-2.8294 -1.5975 6.7895
Br S Nb
4 4 2
direct
0.3551 0.8271 0.7722
0.2365 0.5783 0.2281
0.7635 0.4217 0.7719
0.6449 0.1729 0.2278
0.1431 0.0582 0.3011
0.8010 0.7631 0.1311
0.8569 0.9418 0.6989
0.1990 0.2369 0.8689
0.1269 0.8746 0.0005
0.8731 0.1254 0.9995

***

FeNiPbS3 (GGA-PBE, relaxed); relative energy among the computed polymorphs = 1.76 kJ per mole of atoms; calculated volume = 108.86 Å³/f.u.
1.0
3.6719 0.0000 0.0000
1.8359 6.6745 0.0000
0.0000 0.0000 8.8833
S Fe Pb Ni
6 2 2 2
direct
0.0671 0.8658 0.7500
0.3753 0.2495 0.5471
0.3753 0.2495 0.9529
0.6247 0.7505 0.4529
0.6247 0.7505 0.0471
0.9329 0.1342 0.2500
0.4723 0.0555 0.7500
0.5277 0.9445 0.2500
0.7565 0.4870 0.7500
0.2435 0.5130 0.2500
0.0000 0.0000 0.5000
0.0000 0.0000 0.0000

***

ErNb2As3 (GGA-PBE, relaxed); calculated volume = 120.87 Å³/f.u.; E_tot = -7.128 eV/atom
1.0
3.9590 0.0000 0.0000
-1.9795 3.4286 0.0000
0.0000 0.0000 8.9049
As Nb Er
3 2 1
direct
0.6667 0.3333 0.6896
0.3333 0.6667 0.3104
0.0000 0.0000 0.0000
0.3333 0.6667 0.8650
0.6667 0.3333 0.1350
0.0000 0.0000 0.5000

***

Be2NbW (GGA-PBE, relaxed); calculated volume = 55.15 Å³/f.u.; E_tot = -7.154 eV/atom
1.0
0.2773 1.9218 3.8058
-2.0796 -1.6144 3.3650
2.1821 -1.8499 3.1734
W Nb Be
1 1 2
direct
0.5000 0.5000 0.5000
0.7500 0.7500 0.7500
0.0000 0.0000 0.0000
0.2500 0.2500 0.2500

***

Er8Cu (GGA-PBE, relaxed); DFT formation energy = -45 kJ/mol of formula units; calculated volume = 254.16 Å³/f.u.
1.0
-8.4797 -3.1101 -0.7429
6.3077 -2.5658 -5.9800
0.8386 -2.7829 2.0786
Er Cu
8 1
direct
0.3333 0.6667 0.5000
0.0000 0.2484 0.5000
0.0000 0.6100 0.0000
0.2484 0.0000 0.5000
0.6100 0.0000 0.0000
0.7516 0.7516 0.5000
0.6667 0.3333 0.5000
0.3900 0.3900 0.0000
0.0000 0.0000 0.0000

***

TbTmSi4Ni2 (GGA-PBE, relaxed); calculated volume = 128.77 Å³/f.u.; E_tot = -6.071 eV/atom
1.0
-1.2037 -3.0946 2.1546
7.0749 0.4235 4.5610
4.5507 2.7754 6.5287
Tb Ni Si Tm
1 2 4 1
direct
0.0000 0.6050 0.6050
0.0000 0.8231 0.8231
0.5000 0.1776 0.1776
0.0000 0.9596 0.9596
0.5000 0.7507 0.7507
0.0000 0.2505 0.2505
0.5000 0.0392 0.0392
0.5000 0.3942 0.3942

***

YCuSbW (GGA-PBE, relaxed); relative energy among the computed polymorphs = 28.45 kJ per mole of atoms; calculated volume = 79.63 Å³/f.u.
1.0
0.0000 3.4147 3.4147
3.4147 0.0000 3.4147
3.4147 3.4147 0.0000
Sb Y Cu W
1 1 1 1
direct
0.0000 0.0000 0.0000
0.2500 0.2500 0.2500
0.7500 0.7500 0.7500
0.5000 0.5000 0.5000

***

Pr3Ga9Pd2 (GGA-PBE, relaxed); calculated volume = 275.87 Å³/f.u.; E_tot = -4.377 eV/atom
1.0
0.4316 -6.7196 4.9904
-7.0084 1.2413 4.4254
3.7802 -2.0993 -7.1795
Ga Pd Pr
9 2 3
direct
0.7961 0.6665 0.1296
0.0944 0.8695 0.2249
0.9056 0.1305 0.7751
0.4631 0.3335 0.1296
0.0000 0.0000 0.0000
0.5369 0.6665 0.8704
0.2039 0.3335 0.8704
0.6446 0.8695 0.7751
0.3554 0.1305 0.2249
0.7768 0.5000 0.2768
0.2232 0.5000 0.7232
0.8184 0.3184 0.5000
0.1816 0.6816 0.5000
0.5000 0.0000 0.5000

***

PaAlNO (GGA-PBE, relaxed); relative energy among the computed polymorphs = 0.00 kJ per mole of atoms; calculated volume = 51.04 Å³/f.u.
1.0
-1.9444 -3.3678 0.0000
0.0000 0.0000 5.2088
-4.3639 2.5195 0.0000
Al Pa O N
2 2 2 2
direct
0.5000 0.5014 0.7193
0.5000 0.0014 0.2807
0.0000 0.5012 0.2393
0.0000 0.0012 0.7607
0.5000 0.7496 0.0017
0.5000 0.2496 0.9983
0.0000 0.5018 0.7188
0.0000 0.0018 0.2812

***

TmNi8 (GGA-PBE, relaxed); DFT formation energy = -76 kJ/mol of formula units; calculated volume = 109.25 Å³/f.u.
1.0
-3.8723 3.8723 1.8215
3.8723 -3.8723 1.8215
3.8723 3.8723 -1.8215
Ni Tm
8 1
direct
0.3429 0.0000 0.3429
0.0000 0.6571 0.6571
0.3208 0.6792 0.0000
0.6571 0.0000 0.6571
0.3208 0.3208 0.6416
0.0000 0.3429 0.3429
0.6792 0.6792 0.3584
0.6792 0.3208 0.0000
0.0000 0.0000 0.0000

***

Gd2Al3Cd3 (GGA-PBE, relaxed); relative energy among the computed polymorphs = 0.84 kJ per mole of atoms; calculated volume = 175.23 Å³/f.u.
1.0
-3.0240 2.9646 -4.9064
-2.4890 -5.4179 2.5412
-2.5223 2.6346 3.1465
Al Gd Cd
3 2 3
direct
0.7026 0.8513 0.0000
0.1487 0.8513 0.0000
0.1487 0.2974 0.0000
0.6667 0.3333 0.0000
0.3333 0.6667 0.5000
0.8404 0.6808 0.5000
0.8404 0.1596 0.5000
0.3192 0.1596 0.5000

***

AcZn (GGA-PBE, relaxed); DFT formation energy = -8 kJ/mol of formula units; calculated volume = 63.66 Å³/f.u.
1.0
5.1924 0.0000 0.0000
0.0000 4.0934 0.0000
0.0000 0.0000 5.9906
Zn Ac
2 2
direct
0.7942 0.5000 0.5000
0.0392 0.0000 0.0000
0.2725 0.0000 0.5000
0.5608 0.5000 0.0000

***

Ag3SbS4 (GGA-PBE, relaxed); calculated volume = 198.13 Å³/f.u.; E_tot = -3.753 eV/atom
1.0
-7.4225 -3.0332 1.3136
2.1759 -2.5773 6.3441
-1.8436 5.8071 2.9914
Ag S Sb
6 8 2
direct
0.7404 0.6825 0.4870
0.2596 0.6825 0.4870
0.0000 0.1586 0.5195
0.7596 0.3175 0.9870
0.2404 0.3175 0.9870
0.5000 0.8414 0.0195
0.5000 0.8668 0.6341
0.2401 0.6576 0.1140
0.7599 0.6576 0.1140
0.0000 0.8225 0.6462
0.2599 0.3424 0.6140
0.0000 0.1332 0.1341
0.7401 0.3424 0.6140
0.5000 0.1775 0.1462
0.5000 0.1763 0.5002
0.0000 0.8237 0.0002

***

NdDyC2Br2 (GGA-PBE, relaxed); calculated volume = 151.43 Å³/f.u.; E_tot = -6.252 eV/atom
1.0
3.5950 -1.9347 0.0000
3.5950 1.9347 0.0000
-1.7795 0.0000 10.8855
C Br Dy Nd
2 2 1 1
direct
0.9118 0.9118 0.9610
0.0845 0.0845 0.0261
0.2095 0.2095 0.6948
0.7906 0.7906 0.3159
0.5973 0.5973 0.8653
0.4063 0.4063 0.1369

***

DyBi2 (GGA-PBE, relaxed); calculated volume = 92.49 Å³/f.u.; E_tot = -4.593 eV/atom
1.0
-3.5405 0.0000 0.0000
0.0000 -3.5405 0.0000
1.7702 1.7702 7.3784
Bi Dy
2 1
direct
0.6499 0.6499 0.2999
0.3501 0.3501 0.7001
0.0000 0.0000 0.0000

***

Pr3Mg2AgHgPt2 (GGA-PBE, relaxed); calculated volume = 214.80 Å³/f.u.; E_tot = -4.340 eV/atom
1.0
4.0892 0.0000 0.0000
0.0000 6.7025 3.9187
0.0000 -6.7025 3.9187
Pt Pr Mg Hg Ag
2 3 2 1 1
direct
0.5000 0.3133 0.6592
0.5000 0.6592 0.3133
0.0000 0.5824 0.9900
0.0000 0.9900 0.5824
0.0000 0.4292 0.4292
0.5000 0.0000 0.2533
0.5000 0.2533 0.0000
0.5000 0.7529 0.7529
0.0000 0.0195 0.0195

***

TbPtF3 (GGA-PBE, relaxed); calculated volume = 64.98 Å³/f.u.; E_tot = -5.779 eV/atom
1.0
1.9989 -6.9359 0.0000
1.9989 6.9359 0.0000
0.0000 0.0000 4.6873
F Pt Tb
6 2 2
direct
0.1967 0.8033 0.0077
0.8033 0.1967 0.9923
0.3781 0.6219 0.2500
0.6219 0.3781 0.7500
0.1967 0.8033 0.4923
0.8033 0.1967 0.5077
0.0259 0.9741 0.7500
0.9741 0.0259 0.2500
0.6652 0.3348 0.2500
0.3348 0.6652 0.7500

***

Ho3ErSb4 (GGA-PBE, relaxed); calculated volume = 234.37 Å³/f.u.; E_tot = -5.456 eV/atom
1.0
6.1655 0.0000 0.0000
0.0000 6.1655 0.0000
0.0000 0.0000 6.1655
Sb Er Ho
4 1 3
direct
0.5000 0.0000 0.0000
0.0000 0.0000 0.5000
0.5000 0.5000 0.5000
0.0000 0.5000 0.0000
0.0000 0.0000 0.0000
0.5000 0.5000 0.0000
0.5000 0.0000 0.5000
0.0000 0.5000 0.5000

***

NdTcPt (GGA-PBE, relaxed); DFT formation energy = 58 kJ/mol of formula units; calculated volume = 71.90 Å³/f.u.
1.0
-4.2679 -1.8860 0.1188
-2.8884 0.9831 3.5322
-3.7547 2.6748 -0.7308
Nd Pt Tc
1 1 1
direct
0.2500 0.2500 0.2500
0.0000 0.0000 0.0000
0.7500 0.7500 0.7500